! BeFeH PBE optimized geometry; values from VASP
! Offset from the most stable computed form, eV per atom: 0.086
! Magnetic moment, Bohr magnetons per cell: 1.0
! VASP energy, eV/atom: -5.1783
&SYSTEM
  ibrav = 0, nat = 3, ntyp = 3
/
ATOMIC_SPECIES
H 1.01 H.upf
Be 9.01 Be.upf
Fe 55.84 Fe.upf
ATOMIC_POSITIONS crystal
H 0.333 0.667 0.776
Be 0.667 0.333 0.469
Fe 0.000 0.000 0.988
CELL_PARAMETERS angstrom
2.589 0.000 0.000
-1.294 2.242 0.000
0.000 0.000 3.635


! VPb3I PBE optimized geometry; values from VASP
! Offset from the most stable computed form, eV per atom: 0.000
! Magnetic moment, Bohr magnetons per cell: 1.7
! VASP energy, eV/atom: -4.1554
&SYSTEM
  ibrav = 0, nat = 5, ntyp = 3
/
ATOMIC_SPECIES
V 50.94 V.upf
I 126.90 I.upf
Pb 207.20 Pb.upf
ATOMIC_POSITIONS crystal
V 0.000 0.000 0.000
I 0.500 0.500 0.500
Pb 0.000 0.500 0.000
Pb 0.500 0.000 0.000
Pb 0.000 0.000 0.500
CELL_PARAMETERS angstrom
5.418 0.000 0.000
0.000 5.418 0.000
0.000 0.000 5.418